DFT (GGA-PBE) results for a relaxed structure of TlPtN2.

Summary:
E above lowest polymorph ... 0.000 eV per atom
Energy relative to the elements, uncorrected ... 834 meV per atom
Total moment ... 0.00 μB per formula unit
Space-group type ... No. 166
Theoretical density ... 12.01 Mg/m³

Unit cell a=6.787 b=6.787 c=6.787 alpha=27.57 beta=27.57 gamma=27.57
Fractional coordinates of all 4 atoms:
Tl (0.000, 0.000, 0.000)
Pt (0.500, 0.500, 0.500)
N (0.882, 0.882, 0.882)
N (0.118, 0.118, 0.118)